A plane-wave DFT calculation with GGA-PBE was carried out for an optimized crystal structure of LiP2Se.

```
data_LiP2Se
_chemical_formula_sum 'Li2 P4 Se2'
_space_group_name_H-M_alt 'C m m m'
_space_group_IT_number 65
_space_group_name_Hall '-C 2 2'
_cell_length_a 5.0716
_cell_length_b 7.4096
_cell_length_c 3.5627
_cell_angle_alpha 90.00
_cell_angle_beta 90.00
_cell_angle_gamma 90.00
loop_
_atom_site_label
_atom_site_type_symbol
_atom_site_fract_x
_atom_site_fract_y
_atom_site_fract_z
Li1 Li 0.0000 0.0000 0.0000
P1 P 0.2500 0.2500 0.5000
Se1 Se 0.0000 0.5000 0.0000
```

Results
uncorrected energy: -30.85 eV/cell